1.
A plane-wave DFT calculation with PBEsol was carried out for an optimized crystal structure of Li2HfCu.

Values from the calculation:
DFT formation energy in meV per atom: 505
Total DFT energy (no corrections) in eV/cell: -33.5
DOS(E_F) in states/eV per cell: 7.3
Symmetry: I-42d (122)

Lattice parameters (Å, degrees): 5.6387 5.6387 5.6387 102.08 102.08 125.55
Atoms (fractional coordinates):
1 Li 0.0770 0.6250 0.9520
2 Li 0.3750 0.3270 0.4520
3 Li 0.6730 0.1250 0.0480
4 Li 0.8750 0.9230 0.5480
5 Hf 0.2500 0.7500 0.5000
6 Hf 0.5000 0.5000 0.0000
7 Cu 0.0000 0.0000 0.0000
8 Cu 0.7500 0.2500 0.5000


2.
A plane-wave DFT calculation with PBEsol was carried out for an optimized crystal structure of Li3HfCu.

Values from the calculation:
DFT formation energy in meV per atom: 1687
Total DFT energy (no corrections) in eV/cell: -12.3
DOS(E_F) in states/eV per cell: 4.7
Symmetry: Pm-3m (221)

Lattice parameters (Å, degrees): 5.1308 5.1308 5.1308 90.00 90.00 90.00
Atoms (fractional coordinates):
1 Li 0.0000 0.0000 0.5000
2 Li 0.0000 0.5000 0.0000
3 Li 0.5000 0.0000 0.0000
4 Hf 0.0000 0.0000 0.0000
5 Cu 0.5000 0.5000 0.5000


What did the second record say?
A plane-wave DFT calculation with PBEsol was carried out for an optimized crystal structure of Li3HfCu.

Values from the calculation:
DFT formation energy in meV per atom: 1687
Total DFT energy (no corrections) in eV/cell: -12.3
DOS(E_F) in states/eV per cell: 4.7
Symmetry: Pm-3m (221)

Lattice parameters (Å, degrees): 5.1308 5.1308 5.1308 90.00 90.00 90.00
Atoms (fractional coordinates):
1 Li 0.0000 0.0000 0.5000
2 Li 0.0000 0.5000 0.0000
3 Li 0.5000 0.0000 0.0000
4 Hf 0.0000 0.0000 0.0000
5 Cu 0.5000 0.5000 0.5000